Record 1
First-principles (GGA-PBE) data for a geometry-optimized TiAgAu4 structure, as listed in Alexandria.

```
TiAgAu4
1.0
3.421 0.000 0.000
0.000 3.421 0.000
0.000 0.000 9.109
Ti Ag Au
1 1 4
Direct
0.000 0.000 0.000 Ti
0.500 0.500 0.500 Ag
0.000 0.000 0.329 Au
0.000 0.000 0.671 Au
0.500 0.500 0.158 Au
0.500 0.500 0.842 Au
```

Energy relative to the elements (eV/atom): -0.181
VASP energy (eV per formula unit): -24.9
SG: P4/mmm (123)
Polymorph energy (0 for the lowest one) (eV/atom): 0.000

=====

Record 2
First-principles (GGA-PBE) data for a geometry-optimized Pa6ReMo structure, as listed in Alexandria.

```
Pa6ReMo
1.0
4.556 0.000 0.000
0.000 5.167 0.000
0.000 0.000 15.440
Pa Re Mo
12 2 2
Direct
0.000 0.000 0.114 Pa
0.000 0.000 0.385 Pa
0.000 0.000 0.615 Pa
0.000 0.000 0.886 Pa
0.000 0.500 0.253 Pa
0.000 0.500 0.747 Pa
0.500 0.000 0.247 Pa
0.500 0.000 0.753 Pa
0.500 0.500 0.115 Pa
0.500 0.500 0.386 Pa
0.500 0.500 0.614 Pa
0.500 0.500 0.885 Pa
0.000 0.500 0.000 Re
0.500 0.000 0.500 Re
0.000 0.500 0.500 Mo
0.500 0.000 0.000 Mo
```

Energy relative to the elements (eV/atom): 0.030
VASP energy (eV per formula unit): -80.0
SG: Immm (71)

=====

Record 3
First-principles (GGA-PBE) data for a geometry-optimized CdBi2Se4 structure, as listed in Alexandria.

```
CdBi2Se4
1.0
0.000 6.030 6.030
6.030 0.000 6.030
6.030 6.030 0.000
Cd Bi Se
2 4 8
Direct
0.125 0.125 0.125 Cd
0.875 0.875 0.875 Cd
0.000 0.500 0.500 Bi
0.500 0.000 0.500 Bi
0.500 0.500 0.000 Bi
0.500 0.500 0.500 Bi
0.255 0.255 0.255 Se
0.255 0.255 0.736 Se
0.255 0.736 0.255 Se
0.264 0.745 0.745 Se
0.736 0.255 0.255 Se
0.745 0.264 0.745 Se
0.745 0.745 0.264 Se
0.745 0.745 0.745 Se
```

VASP energy (eV per formula unit): -25.6
SG: Fd-3m (227)
Energy relative to the elements, uncorrected (eV per formula unit): -3.0

=====

Please write out number 2 again, unchanged.
First-principles (GGA-PBE) data for a geometry-optimized Pa6ReMo structure, as listed in Alexandria.

```
Pa6ReMo
1.0
4.556 0.000 0.000
0.000 5.167 0.000
0.000 0.000 15.440
Pa Re Mo
12 2 2
Direct
0.000 0.000 0.114 Pa
0.000 0.000 0.385 Pa
0.000 0.000 0.615 Pa
0.000 0.000 0.886 Pa
0.000 0.500 0.253 Pa
0.000 0.500 0.747 Pa
0.500 0.000 0.247 Pa
0.500 0.000 0.753 Pa
0.500 0.500 0.115 Pa
0.500 0.500 0.386 Pa
0.500 0.500 0.614 Pa
0.500 0.500 0.885 Pa
0.000 0.500 0.000 Re
0.500 0.000 0.500 Re
0.000 0.500 0.500 Mo
0.500 0.000 0.000 Mo
```

Energy relative to the elements (eV/atom): 0.030
VASP energy (eV per formula unit): -80.0
SG: Immm (71)